# BaAc2Ge | the Alexandria database | GGA-PBE | optimized geometry
# Total energy (eV per atom): -3.93
# Crystal system: tetragonal
# Excess energy over the best structure of this formula in the dataset (eV/atom): 0.024
# Energy relative to the elements (eV/atom): -0.24
# Total magnetic moment (μB per cell): 0.0
data_BaAc2Ge
_chemical_formula_sum 'Ba1 Ac2 Ge1'
_cell_length_a 4.050
_cell_length_b 4.050
_cell_length_c 10.261
_cell_angle_alpha 90.00
_cell_angle_beta 90.00
_cell_angle_gamma 90.00
_space_group_name_H-M_alt 'P 4/m m m'
_space_group_IT_number 123
_space_group_name_Hall '-P 4 2'
loop_
_atom_site_label
_atom_site_fract_x
_atom_site_fract_y
_atom_site_fract_z
_atom_site_occupancy
Ba1 0.000 0.000 0.000 1
Ac1 0.500 0.500 0.336 1
Ge1 0.000 0.000 0.500 1